1.
! CaCuN (meta-GGA SCAN, PBEsol geometry); values from VASP
&SYSTEM
  ibrav = 0, nat = 6, ntyp = 3
/
ATOMIC_SPECIES
Ca 40.08 Ca.upf
Cu 63.55 Cu.upf
N 14.01 N.upf
CELL_PARAMETERS angstrom
2.357 -4.582 0.000
2.357 4.582 0.000
0.000 0.000 4.631
ATOMIC_POSITIONS angstrom
Ca 2.357 2.673 3.473
Ca 2.357 -2.673 1.158
Cu 2.357 0.000 0.000
Cu 2.357 0.000 2.315
N 2.357 1.472 1.158
N 2.357 -1.472 3.473
! Crystal system: orthorhombic
! Calculated volume (Å³/cell): 100
! Raw total energy (eV per formula unit): -36.0

2.
! Zr2TeCl (meta-GGA SCAN, PBEsol geometry); values from VASP
&SYSTEM
  ibrav = 0, nat = 4, ntyp = 3
/
ATOMIC_SPECIES
Zr 91.22 Zr.upf
Te 127.60 Te.upf
Cl 35.45 Cl.upf
CELL_PARAMETERS angstrom
3.358 -4.506 0.000
3.358 4.506 0.000
-1.633 0.000 2.887
ATOMIC_POSITIONS angstrom
Zr 1.679 2.253 0.000
Zr 1.679 -2.253 0.000
Te 0.000 0.000 0.000
Cl 3.358 0.000 0.000
! Crystal system: monoclinic
! Calculated volume (Å³/cell): 87
! Raw total energy (eV per formula unit): -108.7

3.
! Mg2ReSb (meta-GGA SCAN, PBEsol geometry); values from VASP
&SYSTEM
  ibrav = 0, nat = 4, ntyp = 3
/
ATOMIC_SPECIES
Mg 24.30 Mg.upf
Re 186.21 Re.upf
Sb 121.76 Sb.upf
CELL_PARAMETERS angstrom
-1.990 1.990 4.522
1.990 -1.990 4.522
1.990 1.990 -4.522
ATOMIC_POSITIONS angstrom
Mg 1.990 0.000 2.261
Mg 0.000 1.990 2.261
Re 0.000 0.000 0.000
Sb 0.000 0.000 4.522
! Crystal system: tetragonal
! Calculated volume (Å³/cell): 72
! Raw total energy (eV per formula unit): -117.2

4.
! MnHgIO2 (meta-GGA SCAN, PBEsol geometry); values from VASP
&SYSTEM
  ibrav = 0, nat = 5, ntyp = 4
/
ATOMIC_SPECIES
Mn 54.94 Mn.upf
Hg 200.59 Hg.upf
I 126.90 I.upf
O 16.00 O.upf
CELL_PARAMETERS angstrom
4.121 0.000 0.000
0.000 4.121 0.000
0.000 0.000 6.206
ATOMIC_POSITIONS angstrom
Mn 0.000 0.000 0.000
Hg 2.061 2.061 3.103
I 2.061 2.061 0.000
O 0.000 2.061 3.103
O 2.061 0.000 3.103
! Crystal system: tetragonal
! Calculated volume (Å³/cell): 105
! Raw total energy (eV per formula unit): -134.2

5.
! BaMgNi2 (meta-GGA SCAN, PBEsol geometry); values from VASP
&SYSTEM
  ibrav = 0, nat = 4, ntyp = 3
/
ATOMIC_SPECIES
Ba 137.33 Ba.upf
Mg 24.30 Mg.upf
Ni 58.69 Ni.upf
CELL_PARAMETERS angstrom
3.428 -3.435 0.000
3.428 3.435 0.000
0.000 0.000 3.267
ATOMIC_POSITIONS angstrom
Ba 0.000 0.000 0.000
Mg 3.428 0.000 0.000
Ni 1.714 1.718 1.633
Ni 1.714 -1.718 1.633
! Crystal system: orthorhombic
! Calculated volume (Å³/cell): 77
! Formation energy (eV/f.u.): 1.84
! Raw total energy (eV per formula unit): -75.0

6.
! Cd2AgAu (meta-GGA SCAN, PBEsol geometry); values from VASP
&SYSTEM
  ibrav = 0, nat = 4, ntyp = 3
/
ATOMIC_SPECIES
Cd 112.41 Cd.upf
Ag 107.87 Ag.upf
Au 196.97 Au.upf
CELL_PARAMETERS angstrom
2.944 0.000 0.000
0.000 4.185 0.000
0.000 0.000 5.895
ATOMIC_POSITIONS angstrom
Cd 0.000 0.000 0.000
Cd 1.472 2.093 1.632
Ag 0.000 0.000 3.017
Au 1.472 2.093 4.509
! Crystal system: orthorhombic
! Calculated volume (Å³/cell): 73
! Formation energy (eV/f.u.): -0.46
! Raw total energy (eV per formula unit): -161.8

7.
! ReTc2Ir (meta-GGA SCAN, PBEsol geometry); values from VASP
&SYSTEM
  ibrav = 0, nat = 4, ntyp = 3
/
ATOMIC_SPECIES
Re 186.21 Re.upf
Tc 98.00 Tc.upf
Ir 192.22 Ir.upf
CELL_PARAMETERS angstrom
1.357 0.784 8.880
-1.357 0.784 8.880
0.000 -1.567 8.880
ATOMIC_POSITIONS angstrom
Re 0.000 0.000 0.000
Tc 0.000 0.000 13.279
Tc 0.000 0.000 19.997
Ir 0.000 0.000 6.647
! Crystal system: trigonal
! Calculated volume (Å³/cell): 57
! Formation energy (eV/f.u.): -0.17
! Raw total energy (eV per formula unit): -212.5

8.
! SmBiPd2 (meta-GGA SCAN, PBEsol geometry); values from VASP
&SYSTEM
  ibrav = 0, nat = 4, ntyp = 3
/
ATOMIC_SPECIES
Sm 150.36 Sm.upf
Bi 208.98 Bi.upf
Pd 106.42 Pd.upf
CELL_PARAMETERS angstrom
0.000 3.445 3.445
3.445 0.000 3.445
3.445 3.445 0.000
ATOMIC_POSITIONS angstrom
Sm 0.000 0.000 0.000
Bi 3.445 3.445 3.445
Pd 1.722 1.722 1.722
Pd 5.167 5.167 5.167
! Crystal system: cubic
! Calculated volume (Å³/cell): 82
! Formation energy (eV/f.u.): -3.13
! Raw total energy (eV per formula unit): -191.7

9.
! Er2CdOs (meta-GGA SCAN, PBEsol geometry); values from VASP
&SYSTEM
  ibrav = 0, nat = 4, ntyp = 3
/
ATOMIC_SPECIES
Er 167.26 Er.upf
Cd 112.41 Cd.upf
Os 190.23 Os.upf
CELL_PARAMETERS angstrom
0.000 3.456 3.456
3.456 0.000 3.456
3.456 3.456 0.000
ATOMIC_POSITIONS angstrom
Er 1.728 1.728 1.728
Er 5.185 5.185 5.185
Cd 0.000 0.000 0.000
Os 3.456 3.456 3.456
! Crystal system: cubic
! Calculated volume (Å³/cell): 83
! Formation energy (eV/f.u.): -1.64
! Raw total energy (eV per formula unit): -204.6

10.
! LiBiSeN2 (meta-GGA SCAN, PBEsol geometry); values from VASP
&SYSTEM
  ibrav = 0, nat = 5, ntyp = 4
/
ATOMIC_SPECIES
Li 6.94 Li.upf
Bi 208.98 Bi.upf
Se 78.96 Se.upf
N 14.01 N.upf
CELL_PARAMETERS angstrom
4.117 0.000 0.000
0.000 4.117 0.000
0.000 0.000 4.602
ATOMIC_POSITIONS angstrom
Li 0.000 0.000 0.000
Bi 2.059 2.059 2.301
Se 0.000 0.000 2.301
N 0.000 2.059 0.000
N 2.059 0.000 0.000
! Crystal system: tetragonal
! Calculated volume (Å³/cell): 78
! Raw total energy (eV per formula unit): -113.5

11.
! LaHf3Tc (meta-GGA SCAN, PBEsol geometry); values from VASP
&SYSTEM
  ibrav = 0, nat = 5, ntyp = 3
/
ATOMIC_SPECIES
La 138.91 La.upf
Hf 178.49 Hf.upf
Tc 98.00 Tc.upf
CELL_PARAMETERS angstrom
5.013 0.000 0.000
0.000 5.013 0.000
0.000 0.000 5.013
ATOMIC_POSITIONS angstrom
La 0.000 0.000 0.000
Hf 0.000 2.506 2.506
Hf 2.506 0.000 2.506
Hf 2.506 2.506 0.000
Tc 2.506 2.506 2.506
! Crystal system: cubic
! Calculated volume (Å³/cell): 126
! Formation energy (eV/f.u.): 0.81
! Raw total energy (eV per formula unit): -265.4

12.
! AlZn2Pb (meta-GGA SCAN, PBEsol geometry); values from VASP
&SYSTEM
  ibrav = 0, nat = 4, ntyp = 3
/
ATOMIC_SPECIES
Al 26.98 Al.upf
Zn 65.41 Zn.upf
Pb 207.20 Pb.upf
CELL_PARAMETERS angstrom
4.165 -1.667 0.000
4.165 1.667 0.000
-1.182 0.000 5.643
ATOMIC_POSITIONS angstrom
Al 0.000 0.000 0.000
Zn 1.210 0.000 4.534
Zn 3.617 0.000 3.573
Pb 5.981 0.000 1.818
! Crystal system: monoclinic
! Calculated volume (Å³/cell): 78
! Formation energy (eV/f.u.): 0.60
! Raw total energy (eV per formula unit): -110.0

> Which formula does entry 4 have?

MnHgIO2

> Look up the calculated volume of the fifth one.

77 Å³/cell